Here is Ag2SbAu after structural relaxation from Alexandria via LeMat-Bulk. Energies are from GGA-PBEsol.

Summary:
The value obtained for the raw total energy is -3.76 eV/atom. The density of states at the Fermi level comes out at 1.5 states/eV/f.u.

abc: 4.199 4.199 5.164
angles: 113.99 113.99 90.00
Fractional coordinates of all 4 atoms:
Sb1 0.750 0.250 0.500
Au1 0.000 0.000 0.000
Ag1 0.500 0.500 0.000
Ag2 0.250 0.750 0.500